# 1
First-principles (PBE) data for a relaxed SrPr14Ho crystal, as listed in Alexandria via LeMat-Bulk.

Summary:
Space group = P4/mmm
Energy of formation from the pure elements = 0.04 eV/atom

Unit cell a=7.4756 b=7.4756 c=10.4807 alpha=90.00 beta=90.00 gamma=90.00
Closest atoms and distances in Å follow each position.
Element x y z (fractional)
Sr 0.8750 0.8750 0.5000  12 Pr 3.74-3.79
Pr 0.8750 0.8750 0.0000  12 Pr 3.74-3.75
Pr 0.3750 0.3750 0.0000  12 Pr 3.65-3.74
Pr 0.8750 0.3750 0.5000  2 Ho 3.74, 2 Sr 3.74, 8 Pr 3.74
Pr 0.8750 0.3750 0.0000  12 Pr 3.70-3.74
Pr 0.3750 0.8750 0.5000  2 Ho 3.74, 2 Sr 3.74, 8 Pr 3.74
Pr 0.3750 0.8750 0.0000  12 Pr 3.70-3.74
Pr 0.6187 0.1313 0.2470  10 Pr 3.64-3.83, 1 Ho 3.70, 1 Sr 3.79
Pr 0.6187 0.1313 0.7530  10 Pr 3.64-3.83, 1 Ho 3.70, 1 Sr 3.79
Pr 0.1313 0.6187 0.2470  10 Pr 3.64-3.83, 1 Ho 3.70, 1 Sr 3.79
Pr 0.1313 0.6187 0.7530  10 Pr 3.64-3.83, 1 Ho 3.70, 1 Sr 3.79
Pr 0.6186 0.6186 0.2470  10 Pr 3.64-3.83, 1 Ho 3.70, 1 Sr 3.79
Pr 0.6186 0.6186 0.7530  10 Pr 3.64-3.83, 1 Ho 3.70, 1 Sr 3.79
Pr 0.1314 0.1314 0.2470  10 Pr 3.64-3.83, 1 Ho 3.70, 1 Sr 3.79
Pr 0.1314 0.1314 0.7530  10 Pr 3.64-3.83, 1 Ho 3.70, 1 Sr 3.79
Ho 0.3750 0.3750 0.5000  12 Pr 3.70-3.74

=====

# 2
First-principles (PBE) data for a relaxed ErPaNiPt crystal, as listed in Alexandria via LeMat-Bulk.

Summary:
Space group = F-43m
Energy of formation from the pure elements = -0.60 eV/atom

Unit cell a=4.8670 b=4.8670 c=4.8670 alpha=60.00 beta=60.00 gamma=60.00
Closest atoms and distances in Å follow each position.
Element x y z (fractional)
Ni 0.7500 0.7500 0.7500  4 Er 2.98, 4 Pa 2.98
Pa 0.0000 0.0000 0.0000  4 Ni 2.98, 4 Pt 2.98
Pt 0.2500 0.2500 0.2500  4 Pa 2.98, 4 Er 2.98
Er 0.5000 0.5000 0.5000  4 Pt 2.98, 4 Ni 2.98

=====

# 3
First-principles (PBE) data for a relaxed Ta2ZnSeO crystal, as listed in Alexandria via LeMat-Bulk.

Summary:
ΔE_f (raw) = -0.072 eV/atom
Space group = P4/mmm

Unit cell a=4.1284 b=4.9009 c=4.1284 alpha=90.00 beta=90.00 gamma=90.00
Closest atoms and distances in Å follow each position.
Element x y z (fractional)
Zn 0.0000 0.5000 0.0000  2 O 2.45
O 0.0000 0.0000 0.0000  4 Ta 2.06
Se 0.5000 0.5000 0.5000  4 Zn 2.92, 8 Ta 3.20
Ta 0.0000 0.0000 0.5000  2 O 2.06
Ta 0.5000 0.0000 0.0000  2 O 2.06

=====

Number 1: M_tot 0.0000 μB per atom, VASP energy -4.53 eV/atom. Number 2: M_tot 0.0093 μB per atom, VASP energy -7.07 eV/atom. Number 3: M_tot 0.0000 μB per atom, VASP energy -6.76 eV/atom.